1.
## AlNi2 (meta-GGA SCAN)

Data for a crystal of AlNi2 relaxed with PBEsol.

Geometry as CIF:
```
data_AlNi2
_chemical_formula_sum 'Al4 Ni8'
_space_group_name_H-M_alt 'C m c m'
_space_group_IT_number 63
_space_group_name_Hall '-C 2c 2'
_cell_length_a 3.3699
_cell_length_b 10.8862
_cell_length_c 3.6675
_cell_angle_alpha 90.00
_cell_angle_beta 90.00
_cell_angle_gamma 90.00
loop_
_atom_site_label
_atom_site_fract_x
_atom_site_fract_y
_atom_site_fract_z
_atom_site_occupancy
Al1 0.0000 0.0931 0.2500 1
Ni1 0.0000 0.2509 0.7500 1
Ni2 0.0000 0.4175 0.2500 1
```

- VASP energy (eV/cell) = -166.693
- V (A^3/atom) = 11.21
- E_form (eV/atom) = -0.525
- magnetization (μB/atom) = 0.0901



2.
## Al5Ni3 (meta-GGA SCAN)

Data for a crystal of Al5Ni3 relaxed with PBEsol.

Geometry as CIF:
```
data_Al5Ni3
_chemical_formula_sum 'Al10 Ni6'
_space_group_name_H-M_alt 'C m m m'
_space_group_IT_number 65
_space_group_name_Hall '-C 2 2'
_cell_length_a 6.8463
_cell_length_b 7.7720
_cell_length_c 3.8069
_cell_angle_alpha 90.00
_cell_angle_beta 90.00
_cell_angle_gamma 90.00
loop_
_atom_site_label
_atom_site_fract_x
_atom_site_fract_y
_atom_site_fract_z
_atom_site_occupancy
Al1 0.0000 0.0000 0.0000 1
Al2 0.2173 0.5000 0.5000 1
Al3 0.2500 0.2500 0.0000 1
Ni1 0.0000 0.2298 0.5000 1
Ni2 0.0000 0.5000 0.0000 1
```

- VASP energy (eV/cell) = -182.464
- V (A^3/atom) = 12.66
- E_form (eV/atom) = -0.494
- magnetization (μB/atom) = 0.0000



3.
## Al3Ni (meta-GGA SCAN)

Data for a crystal of Al3Ni relaxed with PBEsol.

Geometry as CIF:
```
data_Al3Ni
_chemical_formula_sum 'Al12 Ni4'
_space_group_name_H-M_alt 'P n m a'
_space_group_IT_number 62
_cell_length_a 6.5455
_cell_length_b 7.3083
_cell_length_c 4.7960
_cell_angle_alpha 90.00
_cell_angle_beta 90.00
_cell_angle_gamma 90.00
loop_
_space_group_symop_operation_xyz
'x,y,z'
'-x,-y,-z'
'-x+1/2,-y,z+1/2'
'x+1/2,y,-z+1/2'
'x+1/2,-y+1/2,-z+1/2'
'-x+1/2,y+1/2,z+1/2'
'-x,y+1/2,-z'
'x,-y+1/2,z'
loop_
_atom_site_label
_atom_site_fract_x
_atom_site_fract_y
_atom_site_fract_z
_atom_site_occupancy
Al1 0.0092 0.2500 0.0851 1
Al2 0.1716 0.0555 0.6371 1
Ni1 0.1291 0.7500 0.4443 1
```

- VASP energy (eV/cell) = -165.248
- V (A^3/atom) = 14.34
- E_form (eV/atom) = -0.471
- magnetization (μB/atom) = 0.0000



4.
## AlNi3O (meta-GGA SCAN)

Data for a crystal of AlNi3O relaxed with PBEsol.

Geometry as CIF:
```
data_AlNi3O
_chemical_formula_sum 'Al1 Ni3 O1'
_space_group_name_H-M_alt 'P m -3 m'
_space_group_IT_number 221
_space_group_name_Hall '-P 4 2 3'
_cell_length_a 3.7794
_cell_length_b 3.7794
_cell_length_c 3.7794
_cell_angle_alpha 90.00
_cell_angle_beta 90.00
_cell_angle_gamma 90.00
loop_
_atom_site_label
_atom_site_fract_x
_atom_site_fract_y
_atom_site_fract_z
_atom_site_occupancy
Al1 0.0000 0.0000 0.0000 1
Ni1 0.0000 0.5000 0.5000 1
O1 0.5000 0.5000 0.5000 1
```

- VASP energy (eV/cell) = -64.226
- V (A^3/atom) = 10.80
- magnetization (μB/atom) = 0.0002
- E_form (uncorrected) (eV per atom) = -0.345



5.
## Al2NiO (meta-GGA SCAN)

Data for a crystal of Al2NiO relaxed with PBEsol.

Geometry as CIF:
```
data_Al2NiO
_chemical_formula_sum 'Al8 Ni4 O4'
_space_group_name_H-M_alt 'I -4 2 d'
_space_group_IT_number 122
_space_group_name_Hall 'I -4 2bw'
_cell_length_a 5.4178
_cell_length_b 5.4178
_cell_length_c 6.6633
_cell_angle_alpha 90.00
_cell_angle_beta 90.00
_cell_angle_gamma 90.00
loop_
_atom_site_label
_atom_site_fract_x
_atom_site_fract_y
_atom_site_fract_z
_atom_site_occupancy
Al1 0.1887 0.7500 0.1250 1
Ni1 0.0000 0.0000 0.5000 1
O1 0.0000 0.0000 0.0000 1
```

- VASP energy (eV/cell) = -170.844
- V (A^3/atom) = 12.22
- magnetization (μB/atom) = 0.0000
- E_form (uncorrected) (eV per atom) = -1.201



6.
## RbAlNi2O (meta-GGA SCAN)

Data for a crystal of RbAlNi2O relaxed with PBEsol.

Geometry as CIF:
```
data_RbAlNi2O
_chemical_formula_sum 'Rb1 Al1 Ni2 O1'
_space_group_name_H-M_alt 'P 4/m m m'
_space_group_IT_number 123
_space_group_name_Hall '-P 4 2'
_cell_length_a 4.3658
_cell_length_b 4.3658
_cell_length_c 6.1400
_cell_angle_alpha 90.00
_cell_angle_beta 90.00
_cell_angle_gamma 90.00
loop_
_atom_site_label
_atom_site_fract_x
_atom_site_fract_y
_atom_site_fract_z
_atom_site_occupancy
Rb1 0.0000 0.0000 0.0000 1
Al1 0.0000 0.0000 0.5000 1
Ni1 0.0000 0.5000 0.0000 1
O1 0.5000 0.5000 0.5000 1
```

- VASP energy (eV/cell) = -54.881
- V (A^3/atom) = 23.41
- magnetization (μB/atom) = 0.1741
- E_form (uncorrected) (eV per atom) = 2.438